1.
A plane-wave DFT calculation with GGA-PBE was carried out for Ce2DyTl after structural relaxation.

abc: 4.5683 4.3165 11.5256
angles: 90.00 99.39 90.00
Closest atoms and distances in Å follow each position.
Element x y z (fractional)
Ce: 0.6124 0.2500 0.1172  2 Ce 2.80
Ce: 0.3876 0.7500 0.8828  2 Ce 2.80
Ce: 0.0020 0.7500 0.1125  2 Ce 2.80
Ce: 0.9980 0.2500 0.8875  2 Ce 2.80
Dy: 0.6984 0.7500 0.3925  5 Tl 3.13-3.25
Dy: 0.3016 0.2500 0.6075  5 Tl 3.13-3.25
Tl: 0.1821 0.2500 0.3318  5 Dy 3.13-3.25, 4 Ce 3.29-3.40
Tl: 0.8179 0.7500 0.6682  5 Dy 3.13-3.25, 4 Ce 3.29-3.40

## Properties
* DOS(E_F): 15.0 states/eV per cell
* magnetic moment: 0.0 Bohr magnetons per cell
* polymorph energy (0 for the lowest one): 0 meV/atom
* energy: -38.934 eV per cell

---

2.
A plane-wave DFT calculation with GGA-PBE was carried out for CeDyTl4 after structural relaxation.

abc: 5.1873 5.1895 7.3700
angles: 89.91 89.94 90.00
Closest atoms and distances in Å follow each position.
Element x y z (fractional)
Ce: 0.5013 0.4973 0.9981  8 Tl 3.23
Dy: 0.0014 0.9972 0.4981  8 Tl 3.13
Tl: 0.5017 0.9967 0.2601  2 Dy 3.13, 2 Ce 3.23
Tl: 0.5009 0.9979 0.7362  2 Dy 3.13, 2 Ce 3.23
Tl: 0.0017 0.4968 0.7360  2 Dy 3.13, 2 Ce 3.23, 1 Tl 3.51
Tl: 0.0009 0.4978 0.2603  2 Dy 3.13, 2 Ce 3.23, 1 Tl 3.51

## Properties
* DOS(E_F): 8.8 states/eV per cell
* magnetic moment: 0.9 Bohr magnetons per cell
* energy: -19.761 eV per cell

---

3.
A plane-wave DFT calculation with GGA-PBE was carried out for CeDy7Tl5 after structural relaxation.

abc: 6.5321 8.3430 8.3430
angles: 80.83 66.95 66.95
Closest atoms and distances in Å follow each position.
Element x y z (fractional)
Ce: 0.9844 0.0156 0.0156  10 Dy 3.69-4.02, 4 Tl 3.95
Dy: 0.6394 0.3606 0.3606  4 Tl 3.33, 5 Dy 3.43-3.59
Dy: 0.3249 0.6751 0.6751  6 Tl 3.33-3.40, 1 Dy 3.43, 1 Ce 3.71
Dy: 0.9965 0.3445 0.6624  5 Tl 3.28-3.38, 4 Dy 3.43-3.64
Dy: 0.9965 0.6624 0.3445  5 Tl 3.28-3.38, 4 Dy 3.43-3.64
Dy: 0.2694 0.2306 0.2306  4 Tl 3.07, 4 Dy 3.38-3.43
Dy: 0.5130 0.7938 0.1803  5 Tl 3.20-3.28, 1 Dy 3.38
Dy: 0.5130 0.1803 0.7938  5 Tl 3.20-3.28, 1 Dy 3.38
Tl: 0.5054 0.0035 0.4844  7 Dy 3.07-3.38, 3 Tl 3.26-3.27
Tl: 0.0067 0.0035 0.4844  7 Dy 3.07-3.38, 3 Tl 3.26-3.27
Tl: 0.5054 0.4844 0.0035  7 Dy 3.07-3.38, 3 Tl 3.26-3.27
Tl: 0.0067 0.4844 0.0035  7 Dy 3.07-3.38, 3 Tl 3.26-3.27
Tl: 0.7388 0.7612 0.7612  6 Dy 3.23-3.40, 4 Tl 3.26

## Properties
* DOS(E_F): 21.3 states/eV per cell
* magnetic moment: 2.0 Bohr magnetons per cell
* energy: -51.661 eV per cell

---

4.
A plane-wave DFT calculation with GGA-PBE was carried out for CeDy5Tl3 after structural relaxation.

abc: 6.7075 9.3886 9.3884
angles: 120.00 90.00 90.00
Closest atoms and distances in Å follow each position.
Element x y z (fractional)
Ce: 0.0000 0.0000 0.0000  2 Ce 3.35, 6 Dy 3.48, 6 Tl 3.63
Ce: 0.5000 0.0000 0.0000  2 Ce 3.35, 6 Dy 3.48, 6 Tl 3.63
Dy: 0.0000 0.6667 0.3333  8 Dy 3.35-3.59, 6 Tl 3.51
Dy: 0.5000 0.3333 0.6667  8 Dy 3.35-3.59, 6 Tl 3.51
Dy: 0.0000 0.3333 0.6667  8 Dy 3.35-3.59, 6 Tl 3.51
Dy: 0.5000 0.6667 0.3333  8 Dy 3.35-3.59, 6 Tl 3.51
Dy: 0.7500 0.6749 0.6749  5 Tl 3.12-3.36, 2 Ce 3.48
Dy: 0.7500 0.0000 0.3251  5 Tl 3.12-3.36, 2 Ce 3.48
Dy: 0.7500 0.3251 0.0000  5 Tl 3.12-3.36, 2 Ce 3.48
Dy: 0.2500 0.3251 0.3251  5 Tl 3.12-3.36, 2 Ce 3.48
Dy: 0.2500 0.0000 0.6749  5 Tl 3.12-3.36, 2 Ce 3.48
Dy: 0.2500 0.6749 0.0000  5 Tl 3.12-3.36, 2 Ce 3.48
Tl: 0.7500 0.3424 0.3424  5 Dy 3.12-3.36
Tl: 0.7500 0.0000 0.6576  5 Dy 3.12-3.36
Tl: 0.7500 0.6576 0.0000  5 Dy 3.12-3.36
Tl: 0.2500 0.6576 0.6576  5 Dy 3.12-3.36
Tl: 0.2500 0.0000 0.3424  5 Dy 3.12-3.36
Tl: 0.2500 0.3424 0.0000  5 Dy 3.12-3.36

## Properties
* DOS(E_F): 21.8 states/eV per cell
* magnetic moment: 5.5 Bohr magnetons per cell
* energy: -76.556 eV per cell

---

5.
A plane-wave DFT calculation with GGA-PBE was carried out for Ce2DyTl2 after structural relaxation.

abc: 4.6089 4.6089 7.2635
angles: 90.00 90.00 106.32
Closest atoms and distances in Å follow each position.
Element x y z (fractional)
Ce: 0.1781 0.8219 0.5000  1 Ce 2.63
Ce: 0.8219 0.1781 0.5000  1 Ce 2.63
Dy: 0.0000 0.0000 0.0000  4 Tl 3.17-3.18
Tl: 0.5015 0.5015 0.7855  1 Tl 3.12, 2 Ce 3.15, 2 Dy 3.17-3.18
Tl: 0.4985 0.4985 0.2145  1 Tl 3.12, 2 Ce 3.15, 2 Dy 3.17-3.18

## Properties
* DOS(E_F): 10.0 states/eV per cell
* magnetic moment: 2.2 Bohr magnetons per cell
* energy: -21.035 eV per cell

---

6.
A plane-wave DFT calculation with GGA-PBE was carried out for Ce4DyTl5 after structural relaxation.

abc: 3.4951 3.4951 23.0963
angles: 90.00 90.00 90.00
Closest atoms and distances in Å follow each position.
Element x y z (fractional)
Ce: 0.0000 0.0000 0.1959  8 Tl 3.39-3.40, 4 Ce 3.50
Ce: 0.0000 0.0000 0.3986  8 Tl 3.40-3.41, 4 Ce 3.50
Ce: 0.0000 0.0000 0.6014  8 Tl 3.40-3.41, 4 Ce 3.50
Ce: 0.0000 0.0000 0.8041  8 Tl 3.39-3.40, 4 Ce 3.50
Dy: 0.0000 0.0000 0.0000  8 Tl 3.31, 4 Dy 3.50
Tl: 0.5000 0.5000 0.0955  4 Dy 3.31, 4 Ce 3.39, 4 Tl 3.50
Tl: 0.5000 0.5000 0.2973  8 Ce 3.40, 4 Tl 3.50
Tl: 0.5000 0.5000 0.5000  8 Ce 3.41, 4 Tl 3.50
Tl: 0.5000 0.5000 0.7027  8 Ce 3.40, 4 Tl 3.50
Tl: 0.5000 0.5000 0.9045  4 Dy 3.31, 4 Ce 3.39, 4 Tl 3.50

## Properties
* DOS(E_F): 26.5 states/eV per cell
* magnetic moment: 5.4 Bohr magnetons per cell
* energy: -42.776 eV per cell

---

7.
A plane-wave DFT calculation with GGA-PBE was carried out for Ce2Dy3Tl3 after structural relaxation.

abc: 3.6762 5.4197 11.6937
angles: 77.88 80.95 90.00
Closest atoms and distances in Å follow each position.
Element x y z (fractional)
Ce: 0.7569 0.8140 0.4865  2 Ce 2.79-2.80
Ce: 0.2431 0.1860 0.5135  2 Ce 2.79-2.80
Dy: 0.8776 0.4532 0.2451  6 Tl 3.23-3.34
Dy: 0.1224 0.5468 0.7549  6 Tl 3.23-3.34
Dy: 0.0000 0.0000 0.0000  8 Tl 3.27-3.32, 2 Dy 3.64
Tl: 0.3790 0.9643 0.2427  6 Dy 3.23-3.32, 3 Ce 3.32-3.58, 1 Tl 3.58
Tl: 0.5000 0.5000 0.0000  8 Dy 3.27-3.34, 2 Tl 3.58
Tl: 0.6210 0.0357 0.7573  6 Dy 3.23-3.32, 3 Ce 3.32-3.58, 1 Tl 3.58

## Properties
* DOS(E_F): 12.4 states/eV per cell
* magnetic moment: 0.8 Bohr magnetons per cell
* energy: -34.568 eV per cell

---

8.
A plane-wave DFT calculation with GGA-PBE was carried out for CeDyTm2Tl4 after structural relaxation.

abc: 5.3692 5.3692 9.3634
angles: 73.34 73.34 60.00
Closest atoms and distances in Å follow each position.
Element x y z (fractional)
Ce: 0.5000 0.5000 0.5000  8 Tl 3.31-3.35
Dy: 0.0000 0.0000 0.0000  8 Tl 3.27-3.28
Tm: 0.7494 0.7494 0.7517  8 Tl 3.26-3.37
Tm: 0.2506 0.2506 0.2483  8 Tl 3.26-3.37
Tl: 0.3736 0.3736 0.8791  4 Tm 3.26-3.30, 3 Dy 3.28, 1 Ce 3.35
Tl: 0.8767 0.8767 0.3699  1 Dy 3.27, 4 Tm 3.28-3.37, 3 Ce 3.31
Tl: 0.1233 0.1233 0.6301  1 Dy 3.27, 4 Tm 3.28-3.37, 3 Ce 3.31
Tl: 0.6264 0.6264 0.1209  4 Tm 3.26-3.30, 3 Dy 3.28, 1 Ce 3.35

## Properties
* DOS(E_F): 11.8 states/eV per cell
* magnetic moment: 1.0 Bohr magnetons per cell
* energy: -31.228 eV per cell

---

9.
A plane-wave DFT calculation with GGA-PBE was carried out for CeDy2TmTl4 after structural relaxation.

abc: 5.3818 5.3818 9.4037
angles: 73.37 73.37 60.00
Closest atoms and distances in Å follow each position.
Element x y z (fractional)
Ce: 0.5000 0.5000 0.5000  8 Tl 3.32-3.37
Dy: 0.7489 0.7489 0.7534  8 Tl 3.26-3.41
Dy: 0.2511 0.2511 0.2466  8 Tl 3.26-3.41
Tm: 0.0000 0.0000 0.0000  8 Tl 3.27-3.29
Tl: 0.3735 0.3735 0.8796  4 Dy 3.26-3.30, 3 Tm 3.29, 1 Ce 3.37
Tl: 0.8770 0.8770 0.3690  1 Tm 3.27, 4 Dy 3.29-3.41, 3 Ce 3.32
Tl: 0.1230 0.1230 0.6310  1 Tm 3.27, 4 Dy 3.29-3.41, 3 Ce 3.32
Tl: 0.6265 0.6265 0.1204  4 Dy 3.26-3.30, 3 Tm 3.29, 1 Ce 3.37

## Properties
* DOS(E_F): 12.2 states/eV per cell
* magnetic moment: 1.0 Bohr magnetons per cell
* energy: -31.418 eV per cell

---

10.
A plane-wave DFT calculation with GGA-PBE was carried out for CeDyTmTl after structural relaxation.

abc: 5.3789 5.3789 5.3789
angles: 60.00 60.00 60.00
Closest atoms and distances in Å follow each position.
Element x y z (fractional)
Tl: 0.0000 0.0000 0.0000  4 Dy 3.29, 4 Tm 3.29
Tm: 0.7500 0.7500 0.7500  4 Tl 3.29, 4 Ce 3.29
Ce: 0.5000 0.5000 0.5000  4 Tm 3.29, 4 Dy 3.29
Dy: 0.2500 0.2500 0.2500  4 Ce 3.29, 4 Tl 3.29

## Properties
* DOS(E_F): 6.2 states/eV per cell
* magnetic moment: 0.5 Bohr magnetons per cell
* energy: -17.230 eV per cell

---

11.
A plane-wave DFT calculation with GGA-PBE was carried out for Ce2DyTmTl4 after structural relaxation.

abc: 5.4282 5.4282 9.4147
angles: 73.24 73.24 60.00
Closest atoms and distances in Å follow each position.
Element x y z (fractional)
Ce: 0.7495 0.7495 0.7514  8 Tl 3.31-3.35
Ce: 0.2505 0.2505 0.2486  8 Tl 3.31-3.35
Dy: 0.5000 0.5000 0.5000  8 Tl 3.33-3.34
Tm: 0.0000 0.0000 0.0000  8 Tl 3.32
Tl: 0.3748 0.3748 0.8757  4 Ce 3.31-3.32, 3 Tm 3.32, 1 Dy 3.34
Tl: 0.8752 0.8752 0.3743  1 Tm 3.32, 4 Ce 3.33-3.35, 3 Dy 3.33
Tl: 0.1248 0.1248 0.6257  1 Tm 3.32, 4 Ce 3.33-3.35, 3 Dy 3.33
Tl: 0.6252 0.6252 0.1243  4 Ce 3.31-3.32, 3 Tm 3.32, 1 Dy 3.34

## Properties
* DOS(E_F): 17.9 states/eV per cell
* magnetic moment: 2.2 Bohr magnetons per cell
* energy: -32.563 eV per cell